Record 1
This record from the Alexandria database describes a geometry-optimized LiGdI2 structure. The functional is PBE.

a = 10.154 Å, b = 10.154 Å, c = 10.154 Å
α = 22.91°, β = 22.91°, γ = 22.91°
Fractional positions:
Li 0.000 0.000 0.000
Gd 0.500 0.500 0.500
I 0.095 0.095 0.095
I 0.905 0.905 0.905

---

Record 2
This record from the Alexandria database describes a geometry-optimized GdLu2I structure. The functional is PBE.

a = 10.553 Å, b = 10.553 Å, c = 10.553 Å
α = 20.17°, β = 20.17°, γ = 20.17°
Fractional positions:
Gd 0.000 0.000 0.000
Lu 0.246 0.246 0.246
Lu 0.754 0.754 0.754
I 0.500 0.500 0.500

---

Record 3
This record from the Alexandria database describes a geometry-optimized Gd2LuI structure. The functional is PBE.

a = 3.659 Å, b = 3.659 Å, c = 9.400 Å
α = 90.00°, β = 90.00°, γ = 90.00°
Fractional positions:
Gd 0.000 0.000 0.247
Gd 0.000 0.000 0.753
Lu 0.500 0.500 0.500
I 0.500 0.500 0.000

---

Record 4
This record from the Alexandria database describes a geometry-optimized GdLuI structure. The functional is PBE.

a = 5.384 Å, b = 5.384 Å, c = 3.753 Å
α = 90.00°, β = 90.00°, γ = 120.00°
Fractional positions:
Gd 0.000 0.000 0.000
Lu 0.667 0.333 0.517
I 0.333 0.667 0.677

---

Record 5
This record from the Alexandria database describes a geometry-optimized GdMgI2 structure. The functional is PBE.

a = 10.272 Å, b = 10.272 Å, c = 10.272 Å
α = 22.68°, β = 22.68°, γ = 22.68°
Fractional positions:
Gd 0.000 0.000 0.000
Mg 0.500 0.500 0.500
I 0.107 0.107 0.107
I 0.893 0.893 0.893

---

Record 6
This record from the Alexandria database describes a geometry-optimized Gd4I2N structure. The functional is PBE.

a = 10.009 Å, b = 10.009 Å, c = 10.009 Å
α = 152.89°, β = 152.89°, γ = 38.71°
Fractional positions:
Gd 0.000 0.500 0.500
Gd 0.138 0.138 0.000
Gd 0.500 0.000 0.500
Gd 0.862 0.862 0.000
I 0.312 0.312 0.000
I 0.688 0.688 0.000
N 0.000 0.000 0.000

---

Record 7
This record from the Alexandria database describes a geometry-optimized Na2GdI4 structure. The functional is PBE.

a = 9.131 Å, b = 9.131 Å, c = 9.131 Å
α = 139.97°, β = 139.97°, γ = 57.89°
Fractional positions:
Na 0.119 0.119 0.000
Na 0.881 0.881 0.000
Gd 0.500 0.500 0.000
I 0.000 0.500 0.500
I 0.310 0.310 0.000
I 0.500 0.000 0.500
I 0.690 0.690 0.000

---

Record 8
This record from the Alexandria database describes a geometry-optimized NdGdI structure. The functional is PBE.

Output
- energy relative to the lowest polymorph listed for this composition (eV per atom) = 0.000

a = 3.915 Å, b = 3.915 Å, c = 7.722 Å
α = 90.00°, β = 90.00°, γ = 120.00°
Fractional positions:
Nd 0.000 0.000 0.000
Gd 0.333 0.667 0.646
I 0.667 0.333 0.328

---

Record 9
This record from the Alexandria database describes a geometry-optimized Nd2GdI structure. The functional is PBE.

Output
- energy relative to the lowest polymorph listed for this composition (eV per atom) = 0.050

a = 3.717 Å, b = 3.717 Å, c = 9.741 Å
α = 90.00°, β = 90.00°, γ = 90.00°
Fractional positions:
Nd 0.000 0.000 0.241
Nd 0.000 0.000 0.759
Gd 0.500 0.500 0.500
I 0.500 0.500 0.000

---

Record 10
This record from the Alexandria database describes a geometry-optimized NdGdI structure. The functional is PBE.

Output
- energy relative to the lowest polymorph listed for this composition (eV per atom) = 0.087

a = 7.615 Å, b = 7.615 Å, c = 7.615 Å
α = 151.59°, β = 151.59°, γ = 40.62°
Fractional positions:
Nd 0.000 0.000 0.000
Gd 0.325 0.325 0.000
I 0.665 0.665 0.000

---

Record 11
This record from the Alexandria database describes a geometry-optimized Nd2GdI structure. The functional is PBE.

Output
- energy relative to the lowest polymorph listed for this composition (eV per atom) = 0.000

a = 11.037 Å, b = 11.037 Å, c = 11.037 Å
α = 19.91°, β = 19.91°, γ = 19.91°
Fractional positions:
Nd 0.245 0.245 0.245
Nd 0.755 0.755 0.755
Gd 0.000 0.000 0.000
I 0.500 0.500 0.500

---

Record 12
This record from the Alexandria database describes a geometry-optimized NdGdSbI structure. The functional is PBE.

a = 5.486 Å, b = 5.486 Å, c = 5.486 Å
α = 60.00°, β = 60.00°, γ = 60.00°
Fractional positions:
Nd 0.000 0.000 0.000
Gd 0.500 0.500 0.500
Sb 0.250 0.250 0.250
I 0.750 0.750 0.750

---

Table of magnetization (μB per atom), in record order: 1.7564; 1.8282; 3.7860; 2.3637; 1.8865; 0.1289; 1.0024; 2.5331; 1.8369; 2.4936; 1.8758; 2.0518
Table of energy relative to the elements, uncorrected (eV per atom), in record order: -0.82; -0.29; -0.32; -0.16; -0.44; -0.57; -1.07; -0.56; -0.34; -0.47; -0.39; -0.94